# TePt2SeI (meta-GGA SCAN, single point on PBEsol structure)
data_TePt2SeI
_cell_length_a 4.895
_cell_length_b 4.895
_cell_length_c 5.423
_cell_angle_alpha 90.00
_cell_angle_beta 90.00
_cell_angle_gamma 90.00
_symmetry_space_group_name_H-M 'P 4/m m m'
_symmetry_Int_Tables_number 123
_symmetry_space_group_name_Hall '-P 4 2'
loop_
_atom_site_label
_atom_site_fract_x
_atom_site_fract_y
_atom_site_fract_z
Te1 0.000 0.000 0.000
Pt1 0.000 0.500 0.500
Se1 0.500 0.500 0.000
I1 0.500 0.500 0.500
# - magnetization (Bohr magnetons per cell) = 0.0
# - DOS(E_F) (states/eV/cell) = 4.3
# - crystal system = tetragonal
# - electronic total energy (eV per formula unit) = -228.63
# - ΔE_f (raw) (eV/atom) = 1.1660



# ZrTi2Al (meta-GGA SCAN, single point on PBEsol structure)
data_ZrTi2Al
_cell_length_a 4.744
_cell_length_b 5.831
_cell_length_c 10.152
_cell_angle_alpha 90.00
_cell_angle_beta 90.00
_cell_angle_gamma 90.00
_symmetry_space_group_name_H-M 'A m m 2'
_symmetry_Int_Tables_number 38
_symmetry_space_group_name_Hall 'A 2 -2'
loop_
_atom_site_label
_atom_site_fract_x
_atom_site_fract_y
_atom_site_fract_z
Zr1 0.000 0.249 0.000
Ti1 0.000 0.000 0.245
Ti2 0.500 0.000 0.591
Ti3 0.500 0.246 0.827
Al1 0.000 0.000 0.750
Al2 0.500 0.000 0.086
# - formation energy from the elements (eV per formula unit) = -0.96
# - magnetization (Bohr magnetons per cell) = 0.2
# - DOS(E_F) (states/eV/cell) = 13.2
# - crystal system = orthorhombic
# - electronic total energy (eV per formula unit) = -71.47



# ZrCuNi2Au (meta-GGA SCAN, single point on PBEsol structure)
data_ZrCuNi2Au
_cell_length_a 4.588
_cell_length_b 4.588
_cell_length_c 4.930
_cell_angle_alpha 90.00
_cell_angle_beta 90.00
_cell_angle_gamma 90.00
_symmetry_space_group_name_H-M 'P 4/m m m'
_symmetry_Int_Tables_number 123
_symmetry_space_group_name_Hall '-P 4 2'
loop_
_atom_site_label
_atom_site_fract_x
_atom_site_fract_y
_atom_site_fract_z
Zr1 0.000 0.000 0.000
Cu1 0.500 0.500 0.000
Ni1 0.000 0.500 0.500
Au1 0.000 0.000 0.500
# - formation energy from the elements (eV per formula unit) = 5.28
# - magnetization (Bohr magnetons per cell) = 2.1
# - DOS(E_F) (states/eV/cell) = 3.0
# - crystal system = tetragonal
# - electronic total energy (eV per formula unit) = -142.12



# ZrCrSe2N (meta-GGA SCAN, single point on PBEsol structure)
data_ZrCrSe2N
_cell_length_a 4.861
_cell_length_b 4.861
_cell_length_c 3.507
_cell_angle_alpha 90.00
_cell_angle_beta 90.00
_cell_angle_gamma 90.00
_symmetry_space_group_name_H-M 'P 4/m m m'
_symmetry_Int_Tables_number 123
_symmetry_space_group_name_Hall '-P 4 2'
loop_
_atom_site_label
_atom_site_fract_x
_atom_site_fract_y
_atom_site_fract_z
Zr1 0.000 0.000 0.000
Cr1 0.500 0.500 0.500
Se1 0.000 0.500 0.500
N1 0.500 0.500 0.000
# - magnetization (Bohr magnetons per cell) = 1.7
# - DOS(E_F) (states/eV/cell) = 1.9
# - crystal system = tetragonal
# - electronic total energy (eV per formula unit) = -100.57
# - ΔE_f (raw) (eV/atom) = -0.4078



# BPPt2 (meta-GGA SCAN, single point on PBEsol structure)
data_BPPt2
_cell_length_a 5.860
_cell_length_b 5.860
_cell_length_c 5.860
_cell_angle_alpha 90.00
_cell_angle_beta 90.00
_cell_angle_gamma 90.00
_symmetry_space_group_name_H-M 'F m -3 m'
_symmetry_Int_Tables_number 225
_symmetry_space_group_name_Hall '-F 4 2 3'
loop_
_atom_site_label
_atom_site_fract_x
_atom_site_fract_y
_atom_site_fract_z
B1 0.000 0.000 0.000
P1 0.000 0.000 0.500
Pt1 0.250 0.250 0.250
# - formation energy from the elements (eV per formula unit) = 2.09
# - magnetization (Bohr magnetons per cell) = 0.0
# - DOS(E_F) (states/eV/cell) = 4.1
# - crystal system = cubic
# - electronic total energy (eV per formula unit) = -156.12



# Mg2TlTcPb (meta-GGA SCAN, single point on PBEsol structure)
data_Mg2TlTcPb
_cell_length_a 5.112
_cell_length_b 5.112
_cell_length_c 5.813
_cell_angle_alpha 90.00
_cell_angle_beta 90.00
_cell_angle_gamma 90.00
_symmetry_space_group_name_H-M 'P 4/m m m'
_symmetry_Int_Tables_number 123
_symmetry_space_group_name_Hall '-P 4 2'
loop_
_atom_site_label
_atom_site_fract_x
_atom_site_fract_y
_atom_site_fract_z
Mg1 0.000 0.500 0.000
Tl1 0.000 0.000 0.000
Tc1 0.500 0.500 0.500
Pb1 0.000 0.000 0.500
# - formation energy from the elements (eV per formula unit) = 5.71
# - magnetization (Bohr magnetons per cell) = 4.1
# - DOS(E_F) (states/eV/cell) = 3.1
# - crystal system = tetragonal
# - electronic total energy (eV per formula unit) = -187.44



# K2CrCo (meta-GGA SCAN, single point on PBEsol structure)
data_K2CrCo
_cell_length_a 7.471
_cell_length_b 7.471
_cell_length_c 7.471
_cell_angle_alpha 90.00
_cell_angle_beta 90.00
_cell_angle_gamma 90.00
_symmetry_space_group_name_H-M 'F -4 3 m'
_symmetry_Int_Tables_number 216
_symmetry_space_group_name_Hall 'F -4 2 3'
loop_
_atom_site_label
_atom_site_fract_x
_atom_site_fract_y
_atom_site_fract_z
K1 0.000 0.000 0.000
K2 0.250 0.250 0.250
Cr1 0.000 0.000 0.500
Co1 0.250 0.250 0.750
# - formation energy from the elements (eV per formula unit) = 4.66
# - magnetization (Bohr magnetons per cell) = 28.9
# - DOS(E_F) (states/eV/cell) = 29.3
# - crystal system = cubic
# - energy above the lowest structure with this stoichiometry (meV/atom) = 400
# - electronic total energy (eV per formula unit) = -47.68



# Sr2NiBiF (meta-GGA SCAN, single point on PBEsol structure)
data_Sr2NiBiF
_cell_length_a 5.782
_cell_length_b 5.782
_cell_length_c 3.873
_cell_angle_alpha 90.00
_cell_angle_beta 90.00
_cell_angle_gamma 90.00
_symmetry_space_group_name_H-M 'P 4/m m m'
_symmetry_Int_Tables_number 123
_symmetry_space_group_name_Hall '-P 4 2'
loop_
_atom_site_label
_atom_site_fract_x
_atom_site_fract_y
_atom_site_fract_z
Sr1 0.000 0.500 0.000
Ni1 0.000 0.000 0.000
Bi1 0.500 0.500 0.500
F1 0.000 0.000 0.500
# - magnetization (Bohr magnetons per cell) = 0.0
# - DOS(E_F) (states/eV/cell) = 1.3
# - crystal system = tetragonal
# - electronic total energy (eV per formula unit) = -147.42
# - ΔE_f (raw) (eV/atom) = -0.9161